The following is a PBE with a Hubbard U calculation of a relaxed structure of MgMoPtF2, from Alexandria via LeMat-Bulk.

Output
The spin magnetization is 3.82 μB per cell. The total energy comes out at -25.17 eV per cell.

Cell: 3.845 3.845 5.926 Å, 90.00 90.00 90.00°
Space group P4/mmm (No. 123)
Unique sites:
Mg1 0.000 0.000 0.000 x1
Mo1 0.500 0.500 0.500 x1
Pt1 0.000 0.000 0.500 x1
F1 0.000 0.500 0.000 x2